A plane-wave DFT calculation with PBE was carried out for MgHg4Pb after structural relaxation.

Geometry as POSCAR:
```
MgHg4Pb
1.0
4.163 -2.444 0.000
4.163 2.444 0.000
-2.711 0.000 8.466
Mg Hg Pb
1 4 1
Direct
0.000 0.000 0.000
0.112 0.112 0.341
0.372 0.372 0.111
0.628 0.628 0.889
0.888 0.888 0.659
0.500 0.500 0.500
```

Output
DFT formation energy	0.004	eV/atom
calculated volume	28.718	Å³ per atom
space-group type	C2/m, No. 12
excess energy over the best structure of this formula in the dataset	35	meV/atom

---

A plane-wave DFT calculation with PBE was carried out for ZrSc3Hg4 after structural relaxation.

Geometry as POSCAR:
```
ZrSc3Hg4
1.0
4.955 0.000 0.000
0.000 4.955 0.000
0.000 0.000 7.118
Zr Sc Hg
1 3 4
Direct
0.000 0.000 0.000
0.000 0.000 0.500
0.500 0.500 0.000
0.500 0.500 0.500
0.000 0.500 0.256
0.000 0.500 0.744
0.500 0.000 0.256
0.500 0.000 0.744
```

Output
DFT formation energy	-0.347	eV/atom
calculated volume	21.843	Å³ per atom
space-group type	P4/mmm, No. 123